Density functional theory data (PBE-GGA) for a relaxed structure of PmEr2CdN.

The value obtained for the magnetic moment is 0.00 μB/cell. For the total energy, the calculation gives -27.22 eV per cell. Its volume is 22.8 Å³/atom. The formation energy without anion corrections is -0.821 eV/atom. The calculation puts the density at 8.8 g/cm3.

It has space group P4/mmm (No. 123), with a = 4.778 Å, b = 4.778 Å, c = 5.003 Å, α = 90.00°, β = 90.00° and γ = 90.00°. Symmetry generates all atoms from Pm at (0.000, 0.000, 0.000), Er at (0.000, 0.500, 0.500), Cd at (0.500, 0.500, 0.000) and N at (0.000, 0.000, 0.500).

=====

Density functional theory data (PBE-GGA) for a relaxed structure of ErSc2CdN.

The value obtained for the magnetic moment is 0.00 μB/cell. For the total energy, the calculation gives -31.15 eV per cell. Its volume is 19.3 Å³/atom. The formation energy without anion corrections is -0.937 eV/atom. The calculation puts the density at 6.6 g/cm3.

It has space group P4/mmm (No. 123), with a = 4.504 Å, b = 4.504 Å, c = 4.744 Å, α = 90.00°, β = 90.00° and γ = 90.00°. Symmetry generates all atoms from Er at (0.000, 0.000, 0.000), Sc at (0.000, 0.500, 0.500), Cd at (0.500, 0.500, 0.000) and N at (0.000, 0.000, 0.500).

=====

Density functional theory data (PBE-GGA) for a relaxed structure of Sm2ErCdN.

The value obtained for the magnetic moment is 0.00 μB/cell. For the total energy, the calculation gives -27.20 eV per cell. Its volume is 23.6 Å³/atom. The formation energy without anion corrections is -0.793 eV/atom. The calculation puts the density at 8.4 g/cm3.

It has space group P4/mmm (No. 123), with a = 4.993 Å, b = 4.993 Å, c = 4.732 Å, α = 90.00°, β = 90.00° and γ = 90.00°. Symmetry generates all atoms from Sm at (0.000, 0.500, 0.000), Er at (0.000, 0.000, 0.500), Cd at (0.500, 0.500, 0.500) and N at (0.000, 0.000, 0.000).

=====

formation energy without anion corrections of number 3 (Sm2ErCdN)? -0.793 eV/atom

=====

What is the formation energy without anion corrections in the third record? -0.793 eV/atom

=====

Which formula does entry 1 have? PmEr2CdN

=====

Among the records above, which one has the highest density? PmEr2CdN